Entry 1:
## LaPrSb2 (PBE-GGA)

Data for a geometry-optimized LaPrSb2 structure. Values from VASP.

Geometry as Quantum ESPRESSO input:
```
&SYSTEM
  ibrav = 0, nat = 12, ntyp = 3
/
ATOMIC_SPECIES
La 138.91 La.upf
Pr 140.91 Pr.upf
Sb 121.76 Sb.upf
ATOMIC_POSITIONS crystal
La 0.0000 0.0000 0.0000
La 0.3333 0.6667 0.6667
La 0.6667 0.3333 0.3333
Pr 0.0000 0.0000 0.5000
Pr 0.3333 0.6667 0.1667
Pr 0.6667 0.3333 0.8333
Sb 0.0000 0.0000 0.2492
Sb 0.0000 0.0000 0.7508
Sb 0.3333 0.6667 0.4175
Sb 0.3333 0.6667 0.9159
Sb 0.6667 0.3333 0.0841
Sb 0.6667 0.3333 0.5825
CELL_PARAMETERS angstrom
4.5953 0.0000 0.0000
-2.2977 3.9797 0.0000
0.0000 0.0000 22.4777
```

polymorph energy (0 for the lowest one) = 0.000 eV/atom
E_form (uncorrected) = -1.235 eV per atom
crystal system = trigonal



Entry 2:
## La4PrSb5 (PBE-GGA)

Data for a geometry-optimized La4PrSb5 structure. Values from VASP.

Geometry as Quantum ESPRESSO input:
```
&SYSTEM
  ibrav = 0, nat = 10, ntyp = 3
/
ATOMIC_SPECIES
La 138.91 La.upf
Pr 140.91 Pr.upf
Sb 121.76 Sb.upf
ATOMIC_POSITIONS crystal
La 0.0996 0.0996 0.0000
La 0.3002 0.3002 0.0000
La 0.6998 0.6998 0.0000
La 0.9004 0.9004 0.0000
Pr 0.5000 0.5000 0.0000
Sb 0.0000 0.0000 0.0000
Sb 0.1999 0.1999 0.0000
Sb 0.4006 0.4006 0.0000
Sb 0.5994 0.5994 0.0000
Sb 0.8001 0.8001 0.0000
CELL_PARAMETERS angstrom
-2.3069 2.3069 16.3017
2.3069 -2.3069 16.3017
2.3069 2.3069 -16.3017
```

E_form (uncorrected) = -1.260 eV per atom
crystal system = tetragonal



Entry 3:
## LaPrSb2 (PBE-GGA)

Data for a geometry-optimized LaPrSb2 structure. Values from VASP.

Geometry as Quantum ESPRESSO input:
```
&SYSTEM
  ibrav = 0, nat = 8, ntyp = 3
/
ATOMIC_SPECIES
La 138.91 La.upf
Pr 140.91 Pr.upf
Sb 121.76 Sb.upf
ATOMIC_POSITIONS crystal
La 0.2500 0.2500 0.1260
La 0.7500 0.7500 0.8740
Pr 0.2500 0.2500 0.6242
Pr 0.7500 0.7500 0.3758
Sb 0.2500 0.7500 0.1268
Sb 0.2500 0.7500 0.6232
Sb 0.7500 0.2500 0.3768
Sb 0.7500 0.2500 0.8732
CELL_PARAMETERS angstrom
4.5951 0.0000 0.0000
0.0000 6.4919 0.0000
0.0000 0.0000 9.1855
```

polymorph energy (0 for the lowest one) = 0.000 eV/atom
E_form (uncorrected) = -1.235 eV per atom
crystal system = orthorhombic



Entry 4:
## LaPr3Sb2 (PBE-GGA)

Data for a geometry-optimized LaPr3Sb2 structure. Values from VASP.

Geometry as Quantum ESPRESSO input:
```
&SYSTEM
  ibrav = 0, nat = 12, ntyp = 3
/
ATOMIC_SPECIES
La 138.91 La.upf
Pr 140.91 Pr.upf
Sb 121.76 Sb.upf
ATOMIC_POSITIONS crystal
La 0.1120 0.1120 0.1221
La 0.8880 0.8880 0.8779
Pr 0.0541 0.0541 0.6746
Pr 0.3122 0.3122 0.1115
Pr 0.3515 0.3515 0.5289
Pr 0.6484 0.6484 0.4711
Pr 0.6878 0.6878 0.8885
Pr 0.9459 0.9459 0.3254
Sb 0.2451 0.2451 0.7188
Sb 0.4908 0.4908 0.1533
Sb 0.5092 0.5092 0.8467
Sb 0.7549 0.7549 0.2812
CELL_PARAMETERS angstrom
9.5188 -2.2598 0.0000
9.5188 2.2598 0.0000
-4.5102 0.0000 9.1805
```

polymorph energy (0 for the lowest one) = 0.067 eV/atom
E_form (uncorrected) = -0.762 eV per atom
crystal system = monoclinic



Entry 5:
## La2Pr2Sb3 (PBE-GGA)

Data for a geometry-optimized La2Pr2Sb3 structure. Values from VASP.

Geometry as Quantum ESPRESSO input:
```
&SYSTEM
  ibrav = 0, nat = 14, ntyp = 3
/
ATOMIC_SPECIES
La 138.91 La.upf
Pr 140.91 Pr.upf
Sb 121.76 Sb.upf
ATOMIC_POSITIONS crystal
La 0.0000 0.3568 0.5000
La 0.1432 0.1432 0.1432
La 0.3568 0.5000 0.0000
La 0.5000 0.0000 0.3568
Pr 0.0000 0.8605 0.5000
Pr 0.5000 0.0000 0.8605
Pr 0.6395 0.6395 0.6395
Pr 0.8605 0.5000 0.0000
Sb 0.1214 0.7500 0.8714
Sb 0.2500 0.6286 0.3786
Sb 0.3786 0.2500 0.6286
Sb 0.6286 0.3786 0.2500
Sb 0.7500 0.8714 0.1214
Sb 0.8714 0.1214 0.7500
CELL_PARAMETERS angstrom
-4.8225 4.8225 4.8225
4.8225 -4.8225 4.8225
4.8225 4.8225 -4.8225
```

E_form (uncorrected) = -1.105 eV per atom
crystal system = cubic



Entry 6:
## LaPr4Sb5 (PBE-GGA)

Data for a geometry-optimized LaPr4Sb5 structure. Values from VASP.

Geometry as Quantum ESPRESSO input:
```
&SYSTEM
  ibrav = 0, nat = 10, ntyp = 3
/
ATOMIC_SPECIES
La 138.91 La.upf
Pr 140.91 Pr.upf
Sb 121.76 Sb.upf
ATOMIC_POSITIONS crystal
La 0.0000 0.0000 0.0000
Pr 0.2007 0.2007 0.0000
Pr 0.3997 0.3997 0.0000
Pr 0.6003 0.6003 0.0000
Pr 0.7993 0.7993 0.0000
Sb 0.1010 0.6010 0.5000
Sb 0.3001 0.8001 0.5000
Sb 0.5000 0.0000 0.5000
Sb 0.6999 0.1999 0.5000
Sb 0.8990 0.3990 0.5000
CELL_PARAMETERS angstrom
-2.2886 3.2310 11.4234
2.2886 -3.2310 11.4234
2.2886 3.2310 -11.4234
```

E_form (uncorrected) = -1.210 eV per atom
crystal system = orthorhombic



Entry 7:
## La3Pr12Sb5 (PBE-GGA)

Data for a geometry-optimized La3Pr12Sb5 structure. Values from VASP.

Geometry as Quantum ESPRESSO input:
```
&SYSTEM
  ibrav = 0, nat = 80, ntyp = 3
/
ATOMIC_SPECIES
La 138.91 La.upf
Pr 140.91 Pr.upf
Sb 121.76 Sb.upf
ATOMIC_POSITIONS crystal
La 0.1250 0.2500 0.3750
La 0.1250 0.3750 0.7500
La 0.2500 0.3750 0.1250
La 0.2500 0.8750 0.6250
La 0.3750 0.1250 0.2500
La 0.3750 0.7500 0.1250
La 0.6250 0.2500 0.8750
La 0.6250 0.8750 0.7500
La 0.7500 0.1250 0.3750
La 0.7500 0.6250 0.8750
La 0.8750 0.6250 0.2500
La 0.8750 0.7500 0.6250
Pr 0.0481 0.2209 0.1193
Pr 0.0481 0.3272 0.9288
Pr 0.0712 0.6193 0.3984
Pr 0.0712 0.9519 0.6728
Pr 0.1016 0.7209 0.6728
Pr 0.1016 0.8807 0.4288
Pr 0.1193 0.0481 0.2209
Pr 0.1193 0.5712 0.8984
Pr 0.1728 0.2209 0.6016
Pr 0.1728 0.4519 0.5712
Pr 0.2209 0.1193 0.0481
Pr 0.2209 0.6016 0.1728
Pr 0.2791 0.3272 0.8984
Pr 0.2791 0.4519 0.3807
Pr 0.3272 0.8984 0.2791
Pr 0.3272 0.9288 0.0481
Pr 0.3807 0.2791 0.4519
Pr 0.3807 0.6016 0.9288
Pr 0.3984 0.0712 0.6193
Pr 0.3984 0.8272 0.7791
Pr 0.4288 0.1016 0.8807
Pr 0.4288 0.8272 0.5481
Pr 0.4519 0.3807 0.2791
Pr 0.4519 0.5712 0.1728
Pr 0.5481 0.4288 0.8272
Pr 0.5481 0.6193 0.7209
Pr 0.5712 0.1728 0.4519
Pr 0.5712 0.8984 0.1193
Pr 0.6016 0.1728 0.2209
Pr 0.6016 0.9288 0.3807
Pr 0.6193 0.3984 0.0712
Pr 0.6193 0.7209 0.5481
Pr 0.6728 0.0712 0.9519
Pr 0.6728 0.1016 0.7209
Pr 0.7209 0.5481 0.6193
Pr 0.7209 0.6728 0.1016
Pr 0.7791 0.3984 0.8272
Pr 0.7791 0.8807 0.9519
Pr 0.8272 0.5481 0.4288
Pr 0.8272 0.7791 0.3984
Pr 0.8807 0.4288 0.1016
Pr 0.8807 0.9519 0.7791
Pr 0.8984 0.1193 0.5712
Pr 0.8984 0.2791 0.3272
Pr 0.9288 0.0481 0.3272
Pr 0.9288 0.3807 0.6016
Pr 0.9519 0.6728 0.0712
Pr 0.9519 0.7791 0.8807
Sb 0.0000 0.0000 0.0000
Sb 0.0000 0.0000 0.5000
Sb 0.0000 0.5000 0.0000
Sb 0.0000 0.5000 0.5000
Sb 0.1250 0.7500 0.8750
Sb 0.1250 0.8750 0.2500
Sb 0.2500 0.1250 0.8750
Sb 0.2500 0.6250 0.3750
Sb 0.3750 0.2500 0.6250
Sb 0.3750 0.6250 0.7500
Sb 0.5000 0.0000 0.0000
Sb 0.5000 0.0000 0.5000
Sb 0.5000 0.5000 0.0000
Sb 0.5000 0.5000 0.5000
Sb 0.6250 0.3750 0.2500
Sb 0.6250 0.7500 0.3750
Sb 0.7500 0.3750 0.6250
Sb 0.7500 0.8750 0.1250
Sb 0.8750 0.1250 0.7500
Sb 0.8750 0.2500 0.1250
CELL_PARAMETERS angstrom
-9.4688 9.4688 9.4688
9.4688 -9.4688 9.4688
9.4688 9.4688 -9.4688
```

E_form (uncorrected) = 0.024 eV per atom
crystal system = cubic



Entry 8:
## LaPr3Sb2 (PBE-GGA)

Data for a geometry-optimized LaPr3Sb2 structure. Values from VASP.

Geometry as Quantum ESPRESSO input:
```
&SYSTEM
  ibrav = 0, nat = 6, ntyp = 3
/
ATOMIC_SPECIES
La 138.91 La.upf
Pr 140.91 Pr.upf
Sb 121.76 Sb.upf
ATOMIC_POSITIONS crystal
La 0.0000 0.0000 0.0000
Pr 0.0000 0.5000 0.3583
Pr 0.5000 0.0000 0.6417
Pr 0.5000 0.5000 0.0000
Sb 0.0000 0.5000 0.7201
Sb 0.5000 0.0000 0.2799
CELL_PARAMETERS angstrom
4.6341 0.0000 0.0000
0.0000 4.6341 0.0000
0.0000 0.0000 9.0136
```

polymorph energy (0 for the lowest one) = 0.000 eV/atom
E_form (uncorrected) = -0.830 eV per atom
crystal system = tetragonal



Entry 9:
## LaPr3Sb3 (PBE-GGA)

Data for a geometry-optimized LaPr3Sb3 structure. Values from VASP.

Geometry as Quantum ESPRESSO input:
```
&SYSTEM
  ibrav = 0, nat = 14, ntyp = 3
/
ATOMIC_SPECIES
La 138.91 La.upf
Pr 140.91 Pr.upf
Sb 121.76 Sb.upf
ATOMIC_POSITIONS crystal
La 0.1665 0.1665 0.1665
La 0.8335 0.8335 0.8335
Pr 0.1449 0.4066 0.6843
Pr 0.3157 0.8551 0.5934
Pr 0.4066 0.6843 0.1449
Pr 0.5934 0.3157 0.8551
Pr 0.6843 0.1449 0.4066
Pr 0.8551 0.5934 0.3157
Sb 0.0407 0.7966 0.4265
Sb 0.2034 0.5735 0.9593
Sb 0.4265 0.0407 0.7966
Sb 0.5735 0.9593 0.2034
Sb 0.7966 0.4265 0.0407
Sb 0.9593 0.2034 0.5735
CELL_PARAMETERS angstrom
4.7309 2.7314 6.3689
-4.7309 2.7314 6.3689
0.0000 -5.4628 6.3689
```

polymorph energy (0 for the lowest one) = 0.114 eV/atom
E_form (uncorrected) = -0.972 eV per atom
crystal system = trigonal



> Which formula does entry 7 have?

La3Pr12Sb5



Repeat the eighth record exactly.
## LaPr3Sb2 (PBE-GGA)

Data for a geometry-optimized LaPr3Sb2 structure. Values from VASP.

Geometry as Quantum ESPRESSO input:
```
&SYSTEM
  ibrav = 0, nat = 6, ntyp = 3
/
ATOMIC_SPECIES
La 138.91 La.upf
Pr 140.91 Pr.upf
Sb 121.76 Sb.upf
ATOMIC_POSITIONS crystal
La 0.0000 0.0000 0.0000
Pr 0.0000 0.5000 0.3583
Pr 0.5000 0.0000 0.6417
Pr 0.5000 0.5000 0.0000
Sb 0.0000 0.5000 0.7201
Sb 0.5000 0.0000 0.2799
CELL_PARAMETERS angstrom
4.6341 0.0000 0.0000
0.0000 4.6341 0.0000
0.0000 0.0000 9.0136
```

polymorph energy (0 for the lowest one) = 0.000 eV/atom
E_form (uncorrected) = -0.830 eV per atom
crystal system = tetragonal



Repeat the first record exactly.
## LaPrSb2 (PBE-GGA)

Data for a geometry-optimized LaPrSb2 structure. Values from VASP.

Geometry as Quantum ESPRESSO input:
```
&SYSTEM
  ibrav = 0, nat = 12, ntyp = 3
/
ATOMIC_SPECIES
La 138.91 La.upf
Pr 140.91 Pr.upf
Sb 121.76 Sb.upf
ATOMIC_POSITIONS crystal
La 0.0000 0.0000 0.0000
La 0.3333 0.6667 0.6667
La 0.6667 0.3333 0.3333
Pr 0.0000 0.0000 0.5000
Pr 0.3333 0.6667 0.1667
Pr 0.6667 0.3333 0.8333
Sb 0.0000 0.0000 0.2492
Sb 0.0000 0.0000 0.7508
Sb 0.3333 0.6667 0.4175
Sb 0.3333 0.6667 0.9159
Sb 0.6667 0.3333 0.0841
Sb 0.6667 0.3333 0.5825
CELL_PARAMETERS angstrom
4.5953 0.0000 0.0000
-2.2977 3.9797 0.0000
0.0000 0.0000 22.4777
```

polymorph energy (0 for the lowest one) = 0.000 eV/atom
E_form (uncorrected) = -1.235 eV per atom
crystal system = trigonal



> Among the records above, which one has the lowest E_form (uncorrected)?

La4PrSb5